# 1
Ni6IrRh after structural relaxation, computed with GGA-PBE.

```
8
Lattice="3.620 -2.371 0.000 3.620 2.371 0.000 -1.875 0.000 6.196" Properties=species:S:1:pos:R:3 pbc="T T T"
Ni 1.795 1.217 1.216
Ni 0.174 0.000 2.654
Ni 3.570 1.217 4.980
Ni 1.795 -1.217 1.216
Ni 5.191 0.000 3.541
Ni 3.570 -1.217 4.980
Ir 2.683 0.000 3.098
Rh 0.000 0.000 0.000
```

Computed properties:
The distance to the lowest polymorph of the same formula is 0.307 eV/atom. The calculated formation energy comes out at 347.1 meV/atom.


# 2
AcBeSe after structural relaxation, computed with GGA-PBE.

```
6
Lattice="2.188 -7.962 0.000 2.188 7.962 0.000 0.000 0.000 4.308" Properties=species:S:1:pos:R:3 pbc="T T T"
Ac 2.188 6.030 3.231
Ac 2.188 -6.030 1.077
Be 2.188 0.430 3.231
Be 2.188 -0.430 1.077
Se 2.188 2.706 3.231
Se 2.188 -2.706 1.077
```

Computed properties:
Its formation energy without anion corrections is -1009 meV/atom.


# 3
SiSb2RhI after structural relaxation, computed with GGA-PBE.

```
5
Lattice="5.147 0.000 0.000 0.000 5.147 0.000 0.000 0.000 5.231" Properties=species:S:1:pos:R:3 pbc="T T T"
Si 0.000 0.000 0.000
Sb 0.000 2.574 0.000
Sb 2.574 0.000 0.000
Rh 2.574 2.574 2.615
I 0.000 0.000 2.615
```

Computed properties:
The distance to the lowest polymorph of the same formula is 0.390 eV/atom. Its formation energy without anion corrections is 1055 meV/atom.


# 4
RbSnF3 after structural relaxation, computed with GGA-PBE.

```
10
Lattice="7.229 -2.246 0.000 7.229 2.246 0.000 -1.418 0.000 6.797" Properties=species:S:1:pos:R:3 pbc="T T T"
Rb 1.145 0.000 2.718
Rb 11.897 0.000 4.079
Sn 5.185 0.000 0.688
Sn 7.856 0.000 6.109
F 0.438 0.000 5.613
F 3.999 0.000 2.415
F 6.055 0.000 5.085
F 6.986 0.000 1.712
F 9.042 0.000 4.382
F 12.604 0.000 1.184
```

Computed properties:
Its formation energy without anion corrections is -2526 meV/atom.


# 5
TaVSb2Te after structural relaxation, computed with GGA-PBE.

```
5
Lattice="5.369 0.000 0.000 0.000 5.369 0.000 0.000 0.000 5.351" Properties=species:S:1:pos:R:3 pbc="T T T"
Ta 0.000 0.000 0.000
V 2.684 2.684 2.676
Sb 0.000 2.684 0.000
Sb 2.684 0.000 0.000
Te 0.000 0.000 2.676
```

Computed properties:
The distance to the lowest polymorph of the same formula is 0.000 eV/atom. Its formation energy without anion corrections is 856 meV/atom.


# 6
Np3BeSe6 after structural relaxation, computed with GGA-PBE.

```
20
Lattice="5.576 -6.820 0.000 5.576 6.820 0.000 0.000 0.000 6.639" Properties=species:S:1:pos:R:3 pbc="T T T"
Np 5.576 5.356 3.320
Np 3.604 1.377 2.721
Np 3.604 -1.377 6.041
Np 7.548 1.377 2.721
Np 7.548 -1.377 6.041
Np 5.576 -5.356 0.000
Be 5.576 2.730 5.699
Be 5.576 -2.730 2.379
Se 3.750 3.581 4.692
Se 1.797 0.414 4.671
Se 1.797 -0.414 1.352
Se 5.576 3.008 1.334
Se 7.402 3.581 4.692
Se 5.576 0.598 4.858
Se 5.576 -0.598 1.539
Se 3.750 -3.581 1.373
Se 5.576 -3.008 4.654
Se 9.355 0.414 4.671
Se 9.355 -0.414 1.352
Se 7.402 -3.581 1.373
```

Computed properties:
Its formation energy without anion corrections is -1032 meV/atom.


no.,size of the total moment (Bohr magnetons per cell),VASP energy (eV per atom)
1,2.98,-6.02
2,0.00,-4.78
3,0.33,-3.46
4,0.00,-4.64
5,3.77,-5.62
6,22.00,-7.38